Entry from OQMD via LeMat-Bulk: RbZrOs after structural relaxation (PBE-GGA).

Summary:
Excess energy over the best structure of this formula in the dataset (eV/atom): 0.000

Lattice parameters (Å, degrees): 6.7512 6.7512 6.7512 90.00 90.00 90.00
Closest atoms and distances in Å follow each position.
Space group F-43m (No. 216)
Unique sites:
Rb: 0.0000 0.0000 0.0000 x4  4 Os 2.92
Zr: 0.0000 0.0000 0.5000 x4  4 Os 2.92
Os: 0.2500 0.2500 0.2500 x4  4 Zr 2.92, 4 Rb 2.92

Entry from OQMD via LeMat-Bulk: LiBeCu4Ge2 after structural relaxation (PBE-GGA).

Lattice parameters (Å, degrees): 4.1278 4.1278 5.8034 90.00 90.00 90.00
Closest atoms and distances in Å follow each position.
Space group P4/mmm (No. 123)
Unique sites:
Li: 0.0000 0.0000 0.0000 x1  8 Cu 2.55
Be: 0.5000 0.5000 0.5000 x1  8 Cu 2.49
Cu: 0.0000 0.5000 0.2593 x4  4 Ge 2.49-2.55, 2 Be 2.49, 2 Li 2.55
Ge: 0.0000 0.0000 0.5000 x1  8 Cu 2.49
Ge: 0.5000 0.5000 0.0000 x1  8 Cu 2.55

Entry from OQMD via LeMat-Bulk: PrZrCu2P4 after structural relaxation (PBE-GGA).

Lattice parameters (Å, degrees): 3.7224 3.7224 9.7095 90.00 90.00 90.00
Closest atoms and distances in Å follow each position.
Space group P4mm (No. 99)
Unique sites:
Pr: 0.0000 0.0000 0.0000 x1  8 P 2.93-3.03
Zr: 0.5000 0.5000 0.5475 x1  8 P 2.73-2.81
Cu: 0.0000 0.5000 0.2851 x2  4 P 2.39-2.43, 4 Cu 2.63
P: 0.0000 0.0000 0.4465 x1  4 Cu 2.43
P: 0.0000 0.5000 0.7534 x2  4 P 2.63, 2 Zr 2.73
P: 0.5000 0.5000 0.1315 x1  4 Cu 2.39

Entry from OQMD via LeMat-Bulk: RbNpAgTe3 after structural relaxation (PBE-GGA).

Lattice parameters (Å, degrees): 4.4777 16.1420 11.4932 90.00 90.00 90.00
Closest atoms and distances in Å follow each position.
Space group Cmcm (No. 63)
Unique sites:
Rb: 0.0000 0.2470 0.2500 x4  8 Te 3.74-3.92, 2 Ag 4.03
Np: 0.0000 0.0000 0.0000 x4  6 Te 3.07-3.08
Ag: 0.0000 0.4608 0.7500 x4  4 Te 2.78-2.82
Te: 0.0000 0.0671 0.7500 x4  2 Ag 2.82, 2 Np 3.07
Te: 0.0000 0.3723 0.5426 x8  1 Ag 2.78, 2 Np 3.08

Entry from OQMD via LeMat-Bulk: TbHfAsO after structural relaxation (PBE-GGA).

Summary:
Excess energy over the best structure of this formula in the dataset (eV/atom): 0.342

Lattice parameters (Å, degrees): 7.8912 9.2471 5.0076 90.00 91.77 90.00
Closest atoms and distances in Å follow each position.
Space group Cm (No. 8)
Unique sites:
Tb: 0.0000 0.2094 0.0000 x4  2 O 2.21-2.24
Hf: 0.1961 0.5000 0.5331 x2  3 As 2.51-2.59
Hf: 0.3262 0.0000 0.3325 x2  2 O 1.95
As: 0.0237 0.0000 0.5358 x2  2 Hf 2.59-2.62
As: 0.1515 0.5000 0.0263 x2  2 Hf 2.51-2.55
O: 0.2727 0.1660 0.1060 x4  1 Hf 1.95

Entry from OQMD via LeMat-Bulk: Na2YOsO6 after structural relaxation (PBE-GGA).

Lattice parameters (Å, degrees): 8.1338 8.1338 8.1338 90.00 90.00 90.00
Closest atoms and distances in Å follow each position.
Space group Fm-3m (No. 225)
Unique sites:
Na: 0.2500 0.2500 0.2500 x8  12 O 2.88
Y: 0.0000 0.0000 0.0000 x4  6 O 2.19
Os: 0.0000 0.0000 0.5000 x4  6 O 1.88
O: 0.0000 0.0000 0.2692 x24  1 Os 1.88

Entry from OQMD via LeMat-Bulk: Pm4C2Cl5 after structural relaxation (PBE-GGA).

Lattice parameters (Å, degrees): 18.7877 3.8238 7.8543 90.00 107.62 90.00
Closest atoms and distances in Å follow each position.
Space group C2/m (No. 12)
Unique sites:
Pm: 0.0000 0.0000 0.2099 x4  4 C 2.61-2.63
Pm: 0.1634 0.5000 0.1281 x4  1 C 2.22
C: 0.0393 0.5000 0.0303 x4  1 C 1.41
Cl: 0.0000 0.5000 0.5000 x2  4 Pm 2.97
Cl: 0.1617 0.0000 0.3874 x4  3 Pm 2.80-2.93
Cl: 0.1679 0.0000 0.8600 x4  4 Pm 2.86-3.14

Entry from OQMD via LeMat-Bulk: NiI3 after structural relaxation (PBE-GGA).

Lattice parameters (Å, degrees): 10.2157 10.2157 3.4761 90.00 90.00 120.00
Closest atoms and distances in Å follow each position.
Space group P6_3/mmc (No. 194)
Unique sites:
Ni: 0.3333 0.6667 0.2500 x2  6 I 2.70
I: 0.2168 0.4336 0.7500 x6  2 Ni 2.70

Entry from OQMD via LeMat-Bulk: LiErGe after structural relaxation (PBE-GGA).

Summary:
Excess energy over the best structure of this formula in the dataset (eV/atom): 0.295

Lattice parameters (Å, degrees): 7.7039 7.7039 3.9116 90.00 90.00 120.00
Closest atoms and distances in Å follow each position.
Space group P-62m (No. 189)
Unique sites:
Li: 0.0000 0.6042 0.0000 x3  5 Ge 3.05-3.07, 6 Er 3.22-3.34
Er: 0.0000 0.2728 0.5000 x3  4 Ge 2.83-2.87
Ge: 0.0000 0.0000 0.0000 x1  6 Er 2.87, 3 Li 3.05
Ge: 0.3333 0.6667 0.5000 x2  3 Er 2.83, 6 Li 3.07

Entry from OQMD via LeMat-Bulk: GdPPbO after structural relaxation (PBE-GGA).

Summary:
Excess energy over the best structure of this formula in the dataset (eV/atom): 0.000

Lattice parameters (Å, degrees): 4.0027 8.5033 5.9061 90.00 90.00 90.00
Closest atoms and distances in Å follow each position.
Space group Pmc2_1 (No. 26)
Unique sites:
Gd: 0.0000 0.1626 0.0000 x2  2 O 2.19
P: 0.0000 0.1636 0.4885 x2  2 Pb 2.69, 2 Gd 2.77-2.89
Pb: 0.5000 0.3655 0.5812 x2  1 O 2.39
O: 0.5000 0.2625 0.9578 x2  2 Gd 2.19, 1 Pb 2.39

Entry from OQMD via LeMat-Bulk: BeSbAsW after structural relaxation (PBE-GGA).

Summary:
Excess energy over the best structure of this formula in the dataset (eV/atom): 0.000

Lattice parameters (Å, degrees): 6.4570 6.4570 6.4570 90.00 90.00 90.00
Closest atoms and distances in Å follow each position.
Space group F-43m (No. 216)
Unique sites:
Be: 0.0000 0.0000 0.0000 x4  4 As 2.80, 4 Sb 2.80
Sb: 0.2500 0.2500 0.7500 x4  4 W 2.80, 4 Be 2.80
As: 0.2500 0.2500 0.2500 x4  4 W 2.80, 4 Be 2.80
W: 0.0000 0.0000 0.5000 x4  4 As 2.80, 4 Sb 2.80

Entry from OQMD via LeMat-Bulk: SnMo4PC2 after structural relaxation (PBE-GGA).

Lattice parameters (Å, degrees): 3.2288 3.2288 12.3625 90.00 90.00 120.00
Closest atoms and distances in Å follow each position.
Space group P-6m2 (No. 187)
Unique sites:
Sn: 0.0000 0.0000 0.0000 x1  6 Mo 2.99, 6 Sn 3.23
Mo: 0.0000 0.0000 0.3649 x2  3 C 2.24, 3 P 2.50
Mo: 0.3333 0.6667 0.1892 x2  3 C 2.09
P: 0.3333 0.6667 0.5000 x1  6 Mo 2.50
C: 0.6667 0.3333 0.2648 x2  6 Mo 2.09-2.24

Entry from OQMD via LeMat-Bulk: CdH18C23N2O6 after structural relaxation (PBE-GGA).

Lattice parameters (Å, degrees): 6.4649 12.2305 13.5598 112.41 91.16 103.37
Closest atoms and distances in Å follow each position.
Space group P-1 (No. 2)
Unique sites:
Cd: 0.1962 0.1430 0.0981 x2  1 N 2.30, 5 O 2.32-2.42
H: 0.0030 0.5689 0.1966 x2  1 C 1.08
H: 0.0214 0.3158 0.2830 x2  1 N 1.04
H: 0.1079 0.7812 0.3791 x2  1 C 1.09
H: 0.1086 0.4234 0.5035 x2  1 C 1.10
H: 0.1166 0.6852 0.1215 x2  1 C 1.09
H: 0.1204 0.8071 0.5708 x2  1 C 1.09
H: 0.1648 0.0265 0.8105 x2  1 C 1.09
H: 0.2606 0.5782 0.5538 x2  1 C 1.10
H: 0.3259 0.4411 0.9111 x2  1 C 1.09
H: 0.3391 0.7677 0.7829 x2  1 C 1.09
H: 0.3477 0.3824 0.0522 x2  1 C 1.09
H: 0.3506 0.3687 0.3620 x2  1 C 1.10
H: 0.3673 0.4653 0.6595 x2  1 C 1.10
H: 0.4133 0.6723 0.2355 x2  1 C 1.09
H: 0.4273 0.3577 0.5422 x2  1 C 1.10
H: 0.4607 0.0128 0.9200 x2  1 C 1.09
H: 0.4726 0.0879 0.4074 x2  1 C 1.09
H: 0.4832 0.1083 0.5976 x2  1 C 1.09
C: 0.0113 0.1747 0.4668 x2  1 H 1.09
C: 0.0164 0.1881 0.5730 x2  1 H 1.09
C: 0.1325 0.8448 0.0287 x2  2 O 1.27-1.30
C: 0.1390 0.5065 0.8233 x2  1 H 1.08
C: 0.1411 0.5986 0.7854 x2  1 N 1.39, 2 C 1.40
C: 0.1782 0.1410 0.4074 x2  3 C 1.40-1.47
C: 0.1877 0.1409 0.2988 x2  2 O 1.27-1.30
C: 0.1891 0.1668 0.6203 x2  1 O 1.37, 2 C 1.40
C: 0.1990 0.4954 0.3360 x2  1 O 1.24, 1 N 1.37
C: 0.2706 0.4827 0.5133 x2  2 H 1.10
C: 0.2754 0.7474 0.1371 x2  1 H 1.09
C: 0.3088 0.8365 0.0940 x2  3 C 1.40-1.47
C: 0.3213 0.0909 0.8272 x2  1 H 1.09
C: 0.3225 0.5126 0.8823 x2  1 H 1.09
C: 0.3282 0.6941 0.8110 x2  1 H 1.09
C: 0.3453 0.1152 0.4548 x2  1 H 1.09
C: 0.3494 0.4656 0.4033 x2  1 H 1.10
C: 0.3515 0.1269 0.5608 x2  1 H 1.09
C: 0.3585 0.1789 0.7837 x2  1 O 1.39, 2 C 1.39-1.40
C: 0.4236 0.4540 0.5813 x2  2 H 1.10
C: 0.4407 0.7391 0.1991 x2  1 H 1.09
C: 0.4883 0.0830 0.8876 x2  1 H 1.09
C: 0.4966 0.3909 0.0969 x2  1 H 1.09
N: 0.0295 0.3987 0.2769 x2  1 H 1.04
N: 0.4964 0.3015 0.1318 x2  2 C 1.34-1.35
O: 0.0327 0.1657 0.2560 x2  1 C 1.30
O: 0.0423 0.2380 0.0014 x2  1 C 1.27
O: 0.1599 0.9362 0.9994 x2  1 C 1.30
O: 0.1839 0.1851 0.7267 x2  2 C 1.37-1.39
O: 0.2244 0.5994 0.3372 x2  1 C 1.24
O: 0.3478 0.1191 0.2492 x2  1 C 1.27

Entry from OQMD via LeMat-Bulk: Pa2CoOs after structural relaxation (PBE-GGA).

Summary:
Energy relative to the elements (kJ/mol of atoms): -40.7

Lattice parameters (Å, degrees): 5.7989 3.9439 7.4030 90.00 109.05 90.00
Closest atoms and distances in Å follow each position.
Space group P2_1/m (No. 11)
Unique sites:
Pa: 0.2256 0.2500 0.4263 x2  2 Co 2.71, 3 Os 2.78-2.96
Pa: 0.2265 0.2500 0.9388 x2  3 Co 2.69-2.85, 2 Os 2.78
Co: 0.2932 0.7500 0.1982 x2  5 Pa 2.69-2.85, 2 Os 2.92
Os: 0.3138 0.7500 0.7055 x2  6 Pa 2.78-3.08, 2 Co 2.92

Entry from OQMD via LeMat-Bulk: MgSiNiW after structural relaxation (PBE-GGA).

Lattice parameters (Å, degrees): 6.1375 6.1375 6.1375 90.00 90.00 90.00
Closest atoms and distances in Å follow each position.
Space group F-43m (No. 216)
Unique sites:
Mg: 0.0000 0.0000 0.0000 x4  4 W 2.66, 4 Si 2.66
Si: 0.2500 0.2500 0.2500 x4  4 Ni 2.66, 4 Mg 2.66
Ni: 0.0000 0.0000 0.5000 x4  4 Si 2.66, 4 W 2.66
W: 0.2500 0.2500 0.7500 x4  4 Ni 2.66, 4 Mg 2.66

Entry from OQMD via LeMat-Bulk: TlCu9 after structural relaxation (PBE-GGA).

Summary:
Excess energy over the best structure of this formula in the dataset (eV/atom): 0.000

Lattice parameters (Å, degrees): 2.6176 3.4782 36.5063 90.00 90.00 90.00
Closest atoms and distances in Å follow each position.
Space group Pmmn (No. 59, origin choice 2)
Unique sites:
Tl: 0.2500 0.2500 0.1411 x2  2 Tl 2.62
Cu: 0.2500 0.2500 0.2333 x2  11 Cu 2.52-2.62
Cu: 0.2500 0.2500 0.3049 x2  12 Cu 2.53-2.62
Cu: 0.2500 0.2500 0.3761 x2  12 Cu 2.53-2.62
Cu: 0.2500 0.2500 0.4469 x2  12 Cu 2.53-2.62
Cu: 0.2500 0.2500 0.5178 x2  12 Cu 2.53-2.62
Cu: 0.2500 0.2500 0.5886 x2  12 Cu 2.53-2.62
Cu: 0.2500 0.2500 0.6593 x2  12 Cu 2.53-2.62
Cu: 0.2500 0.2500 0.7305 x2  12 Cu 2.53-2.62
Cu: 0.2500 0.2500 0.8013 x2  7 Cu 2.52-2.62

Entry from OQMD via LeMat-Bulk: DyErTeC after structural relaxation (PBE-GGA).

Lattice parameters (Å, degrees): 3.8134 3.8134 13.9493 90.00 90.00 120.00
Closest atoms and distances in Å follow each position.
Space group P-3m1 (No. 164)
Unique sites:
Dy: 0.3333 0.6667 0.4060 x2  3 C 2.56
Er: 0.3333 0.6667 0.0921 x2  3 C 2.55
Te: 0.3333 0.6667 0.7523 x2  3 Er 3.09, 3 Dy 3.12
C: 0.0000 0.0000 0.0000 x1  6 Er 2.55
C: 0.0000 0.0000 0.5000 x1  6 Dy 2.56

Entry from OQMD via LeMat-Bulk: Dy2TmAl3CuNi2 after structural relaxation (PBE-GGA).

Lattice parameters (Å, degrees): 3.9184 12.0326 6.9442 90.00 90.00 90.00
Closest atoms and distances in Å follow each position.
Space group Amm2 (No. 38)
Unique sites:
Dy: 0.0000 0.2090 0.0000 x4  4 Ni 2.86-2.87, 1 Cu 2.91, 6 Al 3.08-3.20
Tm: 0.0000 0.0000 0.3731 x2  4 Ni 2.85, 1 Cu 2.89, 6 Al 3.07-3.18
Al: 0.5000 0.0000 0.0323 x2  2 Cu 2.59, 2 Ni 2.68
Al: 0.5000 0.1199 0.6690 x4  2 Cu 2.57, 2 Ni 2.68-2.72
Cu: 0.0000 0.0000 0.7886 x2  6 Al 2.57-2.59
Ni: 0.5000 0.1649 0.2912 x4  3 Al 2.68-2.72, 2 Tm 2.85, 4 Dy 2.86-2.87

Entry from OQMD via LeMat-Bulk: RbSiTc after structural relaxation (PBE-GGA).

Summary:
Excess energy over the best structure of this formula in the dataset (eV/atom): 0.233

Lattice parameters (Å, degrees): 6.7462 6.7462 6.7462 90.00 90.00 90.00
Closest atoms and distances in Å follow each position.
Space group F-43m (No. 216)
Unique sites:
Rb: 0.0000 0.0000 0.0000 x4  4 Si 2.92
Si: 0.2500 0.2500 0.2500 x4  4 Tc 2.92, 4 Rb 2.92
Tc: 0.0000 0.0000 0.5000 x4  4 Si 2.92

Entry from OQMD via LeMat-Bulk: KPrOs after structural relaxation (PBE-GGA).

Summary:
Excess energy over the best structure of this formula in the dataset (eV/atom): 0.000

Lattice parameters (Å, degrees): 7.0436 7.0436 7.0436 90.00 90.00 90.00
Closest atoms and distances in Å follow each position.
Space group F-43m (No. 216)
Unique sites:
K: 0.0000 0.0000 0.0000 x4  4 Os 3.05
Pr: 0.0000 0.0000 0.5000 x4  4 Os 3.05
Os: 0.2500 0.2500 0.2500 x4  4 K 3.05, 4 Pr 3.05

no.,DFT total energy (eV per atom)
1,-5.600
2,-3.748
3,-6.093
4,-5.057
5,-7.625
6,-6.843
7,-5.840
8,-2.421
9,-4.116
10,-6.091
11,-5.615
12,-9.004
13,-6.651
14,-9.753
15,-5.792
16,-3.486
17,-6.262
18,-4.975
19,-3.992
20,-4.711